A relaxed Ho2Sb2S7 crystal, computed with PBE.

VASP energy	-56.89	eV/cell

Geometry as POSCAR:
```
Ho2Sb2S7
1.0
3.963 0.000 0.000
1.981 8.841 -0.009
1.981 4.184 7.789
S Sb Ho
7 2 2
Direct
0.877 0.421 0.824
0.430 0.714 0.425
0.123 0.176 0.579
0.812 0.064 0.311
0.500 0.039 0.961
0.188 0.689 0.936
0.570 0.575 0.286
0.767 0.730 0.737
0.233 0.263 0.270
0.000 0.847 0.153
0.500 0.335 0.665
```